(1)
This record from the Alexandria database describes a relaxed NbSbAs2Se crystal. The functional is PBE.

Cell and atoms, written as POSCAR:
```
NbSbAs2Se
1.0
5.1057 0.0000 0.0000
0.0000 5.1057 0.0000
0.0000 0.0000 4.8966
Sb Nb As Se
1 1 2 1
Direct
0.5000 0.5000 0.5000
0.0000 0.0000 0.0000
0.0000 0.5000 0.0000
0.5000 0.0000 0.0000
0.0000 0.0000 0.5000
```

## Properties
Offset from the most stable computed form, eV/atom: 0.000
E_form (uncorrected), eV per atom: 0.293

(2)
This record from the Alexandria database describes a relaxed Nb2SnSbAs crystal. The functional is PBE.

Cell and atoms, written as POSCAR:
```
Nb2SnSbAs
1.0
-2.1566 -4.0406 1.6774
4.2649 -2.8403 -1.3586
1.9343 0.7968 4.4062
Sb Nb As Sn
1 2 1 1
Direct
0.0000 0.5000 0.0000
0.0000 0.0000 0.5000
0.5000 0.0000 0.0000
0.0000 0.0000 0.0000
0.5000 0.5000 0.5000
```

## Properties
E_form (uncorrected), eV per atom: 0.795